{
  "formula": "Al3CoO",
  "functional": "GGA+U",
  "state": "optimized geometry",
  "polymorph_energy_kj_per_mol_atoms": 0.0,
  "lattice": [[3.932, 0.000, 0.000], [0.000, 3.932, 0.000], [0.000, 0.000, 3.932]],
  "species": ["Al", "Al", "Al", "Co", "O"],
  "fractional_positions": [[0.000, 0.000, 0.500], [0.000, 0.500, 0.000], [0.500, 0.000, 0.000], [0.500, 0.500, 0.500], [0.000, 0.000, 0.000]]
}